Record 1
6
Lattice="4.410 0.173 -1.184 -0.488 4.387 -1.184 0.015 0.017 8.879" Properties=species:S:1:pos:R:3 comment="CaMgBi | Alexandria | GGA-PBE | relaxed" magmom_total_mub_per_atom=0.00 rho_kg_m3=5257 delta_e_f_ev_per_fu=-1.767 space_group=I4/mmm pbc="T T T"
Ca 2.616 3.041 1.367
Ca 1.321 1.535 5.145
Mg -0.244 2.193 -0.592
Mg 2.205 0.086 -0.592
Bi 3.406 3.960 4.447
Bi 0.530 0.616 2.066

=====

Record 2
11
Lattice="6.427 0.000 0.000 -3.214 6.270 -0.729 0.000 -3.183 10.098" Properties=species:S:1:pos:R:3 comment="Ca5MgBi5 | Alexandria | GGA-PBE | relaxed" magmom_total_mub_per_atom=0.00 rho_kg_m3=5378 delta_e_f_ev_per_fu=-5.788 space_group=C2/m pbc="T T T"
Bi 0.000 0.859 3.076
Bi 3.214 0.000 0.000
Bi 3.214 3.863 1.285
Bi 0.000 -0.776 8.084
Bi 3.214 2.228 6.292
Mg 0.000 0.000 0.000
Ca 0.000 -1.592 5.049
Ca 0.000 1.968 6.304
Ca 3.214 -0.357 8.351
Ca 0.000 3.444 1.017
Ca 3.214 1.119 3.064

=====

Record 3
5
Lattice="5.569 0.000 0.000 0.000 5.569 0.000 0.000 0.000 5.569" Properties=species:S:1:pos:R:3 comment="CaMgBi3 | Alexandria | GGA-PBE | relaxed" magmom_total_mub_per_atom=0.00 rho_kg_m3=6646 delta_e_f_ev_per_fu=0.270 space_group=Pm-3m pbc="T T T"
Bi 2.785 0.000 0.000
Bi 0.000 2.785 0.000
Bi 0.000 0.000 2.785
Ca 2.785 2.785 2.785
Mg 0.000 0.000 0.000

=====

Record 4
4
Lattice="-0.143 -1.971 -3.999 4.568 1.925 -1.112 2.217 -4.131 1.957" Properties=species:S:1:pos:R:3 comment="CaMgBi2 | Alexandria | GGA-PBE | relaxed" magmom_total_mub_per_atom=0.00 rho_kg_m3=6956 delta_e_f_ev_per_fu=-1.761 space_group=P4/mmm pbc="T T T"
Bi 1.108 -2.066 0.979
Bi 2.284 0.962 -0.556
Mg 3.321 -2.089 -1.577
Ca -0.072 -0.986 -2.000

=====

Record 5
4
Lattice="5.058 0.000 0.000 0.000 4.625 0.000 0.000 0.000 4.625" Properties=species:S:1:pos:R:3 comment="CaMg2Bi | Alexandria | GGA-PBE | relaxed" magmom_total_mub_per_atom=0.00 rho_kg_m3=4568 delta_e_f_ev_per_fu=-1.387 space_group=P4/mmm pbc="T T T"
Ca 2.529 0.000 0.000
Mg 0.000 2.313 0.000
Mg 0.000 0.000 2.313
Bi 2.529 2.313 2.313

=====

Record 6
10
Lattice="0.939 4.470 1.564 -0.650 -0.278 8.637 8.140 -0.142 2.971" Properties=species:S:1:pos:R:3 comment="Ca5MgBi4 | Alexandria | GGA-PBE | relaxed" magmom_total_mub_per_atom=0.02 rho_kg_m3=5386 delta_e_f_ev_per_fu=-6.839 space_group=Immm pbc="T T T"
Ca 4.449 3.143 6.978
Ca 2.694 2.340 10.324
Ca 0.660 3.859 7.204
Ca 6.203 3.946 3.631
Ca 8.238 2.427 6.751
Mg 0.235 1.118 0.391
Bi 2.096 0.878 7.409
Bi 5.863 0.937 4.982
Bi 6.142 1.879 9.575
Bi 1.816 -0.063 2.816

=====

Record 7
8
Lattice="8.980 0.000 0.000 0.000 8.980 0.000 4.490 4.490 3.131" Properties=species:S:1:pos:R:3 comment="CaMg2Bi | Alexandria | GGA-PBE | relaxed" magmom_total_mub_per_atom=0.00 rho_kg_m3=3916 delta_e_f_ev_per_fu=-0.423 space_group=I-42d pbc="T T T"
Bi 8.980 4.490 1.565
Bi 0.000 0.000 0.000
Mg 1.814 6.735 0.783
Mg 7.165 2.245 0.783
Mg 11.224 11.655 2.348
Mg 6.735 6.304 2.348
Ca 4.490 8.980 1.565
Ca 4.490 4.490 0.000

=====

Record 8
14
Lattice="8.284 0.000 0.000 4.142 7.174 0.000 4.142 2.391 7.534" Properties=species:S:1:pos:R:3 comment="CaMg3Bi3 | Alexandria | GGA-PBE | relaxed" magmom_total_mub_per_atom=0.00 rho_kg_m3=5489 delta_e_f_ev_per_fu=-2.482 space_group=R-3 pbc="T T T"
Ca 8.284 4.783 7.526
Ca 8.284 4.783 0.007
Bi 5.472 4.875 1.705
Bi 6.798 2.394 5.828
Bi 9.770 7.172 1.705
Bi 6.958 7.264 5.828
Bi 9.610 2.301 1.705
Bi 11.096 4.690 5.828
Mg 11.012 4.703 2.790
Mg 6.851 2.460 2.790
Mg 9.717 7.106 4.744
Mg 9.579 2.380 4.744
Mg 6.988 7.185 2.790
Mg 5.556 4.862 4.744